No. 1
! Li3TlP (PBEsol, relaxed); values from VASP
! - volume (Å³ per atom) = 20.332
! - DOS(E_F) (states/eV per cell) = 2.3
! - space group = Pm-3m
! - spin magnetization (μB/f.u.) = 0.0
! - DFT formation energy (eV/atom) = -0.31
&SYSTEM
  ibrav = 0, nat = 5, ntyp = 3
/
ATOMIC_SPECIES
Li 6.94 Li.upf
Tl 204.38 Tl.upf
P 30.97 P.upf
CELL_PARAMETERS angstrom
4.667 0.000 0.000
0.000 4.667 0.000
0.000 0.000 4.667
ATOMIC_POSITIONS crystal
Li 0.000 0.000 0.500
Li 0.000 0.500 0.000
Li 0.500 0.000 0.000
Tl 0.500 0.500 0.500
P 0.000 0.000 0.000

---

No. 2
! LiTl2P (PBEsol, relaxed); values from VASP
! - energy above the lowest structure with this stoichiometry (meV/atom) = 188
! - volume (Å³ per atom) = 22.758
! - DOS(E_F) (states/eV per cell) = 1.4
! - space group = F-43m
! - spin magnetization (μB/f.u.) = 0.0
! - DFT formation energy (eV/atom) = 0.04
&SYSTEM
  ibrav = 0, nat = 16, ntyp = 3
/
ATOMIC_SPECIES
Li 6.94 Li.upf
Tl 204.38 Tl.upf
P 30.97 P.upf
CELL_PARAMETERS angstrom
7.141 0.000 0.000
0.000 7.141 0.000
0.000 0.000 7.141
ATOMIC_POSITIONS crystal
Li 0.000 0.000 0.000
Li 0.000 0.500 0.500
Li 0.500 0.000 0.500
Li 0.500 0.500 0.000
Tl 0.000 0.000 0.500
Tl 0.000 0.500 0.000
Tl 0.250 0.250 0.250
Tl 0.250 0.750 0.750
Tl 0.500 0.000 0.000
Tl 0.500 0.500 0.500
Tl 0.750 0.250 0.750
Tl 0.750 0.750 0.250
P 0.250 0.250 0.750
P 0.250 0.750 0.250
P 0.750 0.250 0.250
P 0.750 0.750 0.750